(w)
SrP2S2 (PBE, optimized geometry); spin magnetization = 0.08 μB/atom; volume = 104.0 Å³ per cell; SG = P4/mmm, No. 123
1.0
4.808 0.000 0.000
0.000 4.808 0.000
0.000 0.000 4.500
Sr P S
1 2 2
Cartesian
0.000 0.000 0.000 Sr
2.404 2.404 0.000 P
2.404 2.404 2.250 P
0.000 2.404 2.250 S
2.404 0.000 2.250 S

(x)
SrP2S2 (PBE, optimized geometry); spin magnetization = 0.73 μB/atom; volume = 177.7 Å³ per cell; SG = P4/mmm, No. 123
1.0
5.695 0.000 0.000
0.000 5.695 0.000
0.000 0.000 5.480
Sr P S
1 2 2
Cartesian
0.000 0.000 0.000 Sr
0.000 2.848 0.000 P
2.848 0.000 0.000 P
0.000 0.000 2.740 S
2.848 2.848 2.740 S

Last place for stability: (x)

(w)
B5C7 (PBE, optimized geometry); spin magnetization = 0.00 μB/atom; volume = 80.7 Å³ per cell; SG = Cm, No. 8
1.0
6.129 -1.320 0.000
6.129 1.320 0.000
-1.251 0.000 4.985
B C
5 7
Cartesian
0.000 0.000 0.000 B
-0.365 0.000 1.985 B
1.227 0.000 1.304 B
0.942 0.000 3.236 B
4.340 0.000 0.541 B
3.744 0.000 3.024 C
4.879 0.000 2.040 C
4.281 0.000 4.428 C
8.344 0.000 1.339 C
7.725 0.000 3.794 C
9.380 0.000 0.257 C
8.966 0.000 2.776 C

(x)
B5C7 (PBE, optimized geometry); spin magnetization = 0.00 μB/atom; volume = 78.4 Å³ per cell; SG = Cm, No. 8
1.0
6.670 -1.271 0.000
6.670 1.271 0.000
-1.024 0.000 4.623
B C
5 7
Cartesian
0.000 0.000 0.000 B
-0.227 0.000 1.588 B
1.767 0.000 1.020 B
6.599 0.000 2.817 B
11.323 0.000 0.976 B
1.665 0.000 4.230 C
3.148 0.000 4.557 C
4.021 0.000 3.267 C
5.432 0.000 3.798 C
8.082 0.000 3.345 C
8.930 0.000 2.061 C
10.413 0.000 2.372 C

Last place for stability: (x)